# CsWNO2 PBE+U optimized geometry
data_CsWNO2
_chemical_formula_sum 'Cs1 W1 N1 O2'
_cell_length_a 4.1458
_cell_length_b 4.1458
_cell_length_c 4.0807
_cell_angle_alpha 90.00
_cell_angle_beta 90.00
_cell_angle_gamma 90.00
_space_group_name_H-M_alt 'P 1'
_space_group_IT_number 1
loop_
_space_group_symop_operation_xyz
'x,y,z'
loop_
_atom_site_label
_atom_site_type_symbol
_atom_site_fract_x
_atom_site_fract_y
_atom_site_fract_z
Cs1 Cs 0.0000 0.0000 0.0000
W1 W 0.5000 0.5000 0.5000
N1 N 0.5000 0.5000 0.0000
O1 O 0.0000 0.5000 0.5000
O2 O 0.5000 0.0000 0.5000
# **Crystal system**: tetragonal
# **Calculated total energy**: -6.25 eV per atom